## HoEr2MoO8 (PBE+U)

Data for a relaxed HoEr2MoO8 crystal.

Cell and atoms, written as POSCAR:
```
HoEr2MoO8
1.0
5.0186 -0.0445 -0.0031
-0.0197 5.0187 -0.0056
0.0039 0.0074 6.7472
O Mo Er Ho
8 1 2 1
Cartesian
1.5432 1.5339 3.3710
0.9073 4.0868 1.4350
0.9094 4.0909 5.3020
1.3895 1.3827 6.7447
4.0934 0.8907 1.4365
3.4596 3.4477 3.3675
3.6133 3.5989 -0.0061
4.0955 0.8948 5.3035
0.0000 0.0000 0.0000
2.5003 2.4889 1.6794
2.5025 2.4927 5.0591
0.0020 0.0037 3.3736
```

## Properties
SG = Cmmm (65)
Uncorrected energy = -7.74 eV/atom